Entry from Alexandria: a crystal of BaTm2NiO5 relaxed with PBEsol (SCAN).

Cell: 3.690 5.648 6.504 Å, 115.73 106.48 90.00°
Site moments in Bohr magnetons follow the coordinates.
Fractional coordinates of all 9 atoms:
Tm1 0.298 0.798 0.596  0.02
O1 0.151 0.389 0.302  0.06
Tm2 0.702 0.202 0.404  0.02
O2 0.151 0.912 0.302  0.06
O3 0.849 0.611 0.698  0.06
Ba1 0.500 0.500 0.000  -0.01
O4 0.500 0.000 0.000  0.07
Ni1 0.000 0.000 0.000  1.64
O5 0.849 0.088 0.698  0.06

Computed properties:
Symmetry: Immm
Energy: -218.89 eV/cell
Total magnetic moment: 2.00 Bohr magnetons per cell
Energy relative to the elements, uncorrected: -304 kJ/mol of atoms